(1)
HfCoAgSb: relaxed, PBE.

CIF file:
```
data_HfCoAgSb
_chemical_formula_sum 'Hf4 Co4 Ag4 Sb4'
_symmetry_space_group_name_H-M 'F -4 3 m'
_symmetry_Int_Tables_number 216
_symmetry_space_group_name_Hall 'F -4 2 3'
_cell_length_a 6.5900
_cell_length_b 6.5900
_cell_length_c 6.5900
_cell_angle_alpha 90.00
_cell_angle_beta 90.00
_cell_angle_gamma 90.00
loop_
_atom_site_label
_atom_site_type_symbol
_atom_site_fract_x
_atom_site_fract_y
_atom_site_fract_z
Hf1 Hf 0.0000 0.0000 0.0000
Co1 Co 0.0000 0.0000 0.5000
Ag1 Ag 0.2500 0.2500 0.7500
Sb1 Sb 0.2500 0.2500 0.2500
```

Results
The calculation puts the offset from the most stable computed form at 75 meV per atom.

=====

(2)
Co6Re7: relaxed, PBE.

CIF file:
```
data_Co6Re7
_chemical_formula_sum 'Co18 Re21'
_symmetry_space_group_name_H-M 'R -3 m'
_symmetry_Int_Tables_number 166
_symmetry_space_group_name_Hall '-R 3 2"'
_cell_length_a 5.0154
_cell_length_b 5.0154
_cell_length_c 25.1481
_cell_angle_alpha 90.00
_cell_angle_beta 90.00
_cell_angle_gamma 120.00
loop_
_atom_site_label
_atom_site_type_symbol
_atom_site_fract_x
_atom_site_fract_y
_atom_site_fract_z
Co1 Co 0.0000 0.0000 0.0446
Co2 Co 0.0000 0.0000 0.1483
Co3 Co 0.0000 0.0000 0.3368
Re1 Re 0.0000 0.0000 0.5000
Re2 Re 0.0079 0.5040 0.9156
```

Results
The value obtained for the formation energy is 6.24 eV/f.u. The calculation puts the offset from the most stable computed form at 499 meV per atom.

=====

(3)
La3Gd2HoCoTe2: relaxed, PBE.

CIF file:
```
data_La3Gd2HoCoTe2
_chemical_formula_sum 'La6 Gd4 Ho2 Co2 Te4'
_symmetry_space_group_name_H-M 'A m m 2'
_symmetry_Int_Tables_number 38
_symmetry_space_group_name_Hall 'A 2 -2'
_cell_length_a 4.0908
_cell_length_b 14.8385
_cell_length_c 8.5729
_cell_angle_alpha 90.00
_cell_angle_beta 90.00
_cell_angle_gamma 90.00
loop_
_atom_site_label
_atom_site_type_symbol
_atom_site_fract_x
_atom_site_fract_y
_atom_site_fract_z
La1 La 0.0000 0.0000 0.0000
La2 La 0.0000 0.2019 0.6069
Gd1 Gd 0.5000 0.1146 0.2907
Ho1 Ho 0.5000 0.0000 0.6327
Co1 Co 0.0000 0.0000 0.4080
Te1 Te 0.5000 0.1662 0.9044
```

Results
As for the energy: -5.40 eV/atom.